No. 1
Computed, not measured: an optimized crystal structure of CaAl2BPt at the PBE-GGA level of DFT.

a = 5.2948 Å, b = 5.2948 Å, c = 4.3477 Å
α = 90.00°, β = 90.00°, γ = 90.00°
Last column: nearest neighbours and their distance in Å.
Fractional coordinates of all 5 atoms:
Ca: 0.0000 0.0000 0.0000  2 B 2.17
Al: 0.0000 0.5000 0.0000  2 Ca 2.65
Al: 0.5000 0.0000 0.0000  2 Ca 2.65
B: 0.0000 0.0000 0.5000  2 Ca 2.17
Pt: 0.5000 0.5000 0.5000  8 Al 3.43, 4 B 3.74

Computed properties:
Formation energy from the elements, meV/atom: 1912
Energy, eV/atom: -2.53
Space group: P4/mmm
Calculated density, g/cm3: 4.1

=====

No. 2
Computed, not measured: an optimized crystal structure of BeTlCl2 at the PBE-GGA level of DFT.

a = 11.8253 Å, b = 11.8253 Å, c = 11.8253 Å
α = 15.94°, β = 15.94°, γ = 15.94°
Last column: nearest neighbours and their distance in Å.
Fractional coordinates of all 4 atoms:
Be: 0.0000 0.0000 0.0000  6 Cl 2.27
Tl: 0.5000 0.5000 0.5000  6 Tl 3.28
Cl: 0.3692 0.3692 0.3692  3 Be 2.27
Cl: 0.6308 0.6308 0.6308  3 Be 2.27

Computed properties:
Excess energy over the best structure of this formula in the dataset, kJ per mole of atoms: 0.0
Energy, eV/atom: -3.21
Energy relative to the elements, uncorrected, meV/atom: -767
Space group: R-3m
Calculated density, g/cm3: 4.3

=====

No. 3
Computed, not measured: an optimized crystal structure of LuPu2Co at the PBE-GGA level of DFT.

a = 9.1611 Å, b = 9.1611 Å, c = 9.1611 Å
α = 22.50°, β = 22.50°, γ = 22.50°
Last column: nearest neighbours and their distance in Å.
Fractional coordinates of all 4 atoms:
Lu: 0.0000 0.0000 0.0000  6 Pu 3.50, 6 Lu 3.57
Pu: 0.2279 0.2279 0.2279  3 Co 2.64
Pu: 0.7721 0.7721 0.7721  3 Co 2.64
Co: 0.5000 0.5000 0.5000  6 Pu 2.64

Computed properties:
Excess energy over the best structure of this formula in the dataset, kJ per mole of atoms: 6.0
Formation energy from the elements, meV/atom: 176
Energy, eV/atom: -9.90
Space group: R-3m
Calculated density, g/cm3: 12.1

=====

No. 4
Computed, not measured: an optimized crystal structure of Cs2KDyI6 at the PBE-GGA level of DFT.

a = 8.7668 Å, b = 12.8535 Å, c = 9.6004 Å
α = 90.00°, β = 90.00°, γ = 90.00°
Last column: nearest neighbours and their distance in Å.
Fractional coordinates of all 20 atoms:
Cs: 0.2500 0.0338 0.1964  7 I 3.99-4.39
Cs: 0.2500 0.4662 0.1964  7 I 3.99-4.39
Cs: 0.7500 0.5338 0.8036  7 I 3.99-4.39
Cs: 0.7500 0.9662 0.8036  7 I 3.99-4.39
K: 0.2500 0.2500 0.7102  6 I 3.46-3.50
K: 0.7500 0.7500 0.2898  6 I 3.46-3.50
Dy: 0.2500 0.7500 0.7833  6 I 3.01-3.05
Dy: 0.7500 0.2500 0.2167  6 I 3.01-3.05
I: 0.0013 0.2500 0.4309  1 Dy 3.01
I: 0.0115 0.7500 0.0144  1 Dy 3.05
I: 0.2500 0.5140 0.7855  1 Dy 3.03
I: 0.2500 0.9860 0.7855  1 Dy 3.03
I: 0.4885 0.7500 0.0144  1 Dy 3.05
I: 0.4987 0.2500 0.4309  1 Dy 3.01
I: 0.5013 0.7500 0.5691  1 Dy 3.01
I: 0.5115 0.2500 0.9856  1 Dy 3.05
I: 0.7500 0.0140 0.2145  1 Dy 3.03
I: 0.7500 0.4860 0.2145  1 Dy 3.03
I: 0.9885 0.2500 0.9856  1 Dy 3.05
I: 0.9987 0.7500 0.5691  1 Dy 3.01

Computed properties:
Energy, eV/atom: -3.16
Energy relative to the elements, uncorrected, meV/atom: -1485
Space group: Pmmn
Calculated density, g/cm3: 3.8

=====

No. 5
Computed, not measured: an optimized crystal structure of BaAcHfS4 at the PBE-GGA level of DFT.

a = 8.4433 Å, b = 8.4433 Å, c = 8.4433 Å
α = 146.23°, β = 146.23°, γ = 48.51°
Last column: nearest neighbours and their distance in Å.
Fractional coordinates of all 7 atoms:
Ba: 0.0000 0.0000 0.0000  5 S 2.98-3.33
Ac: 0.2758 0.2758 0.0000  5 S 2.96-3.16
Hf: 0.6388 0.6388 0.0000  6 S 2.46-2.63
S: 0.1465 0.6465 0.5000  2 Hf 2.46
S: 0.4680 0.4680 0.0000  1 Hf 2.63
S: 0.6465 0.1465 0.5000  2 Hf 2.46
S: 0.8063 0.8063 0.0000  1 Hf 2.58

Computed properties:
Energy, eV/atom: -6.52
Energy relative to the elements, uncorrected, meV/atom: -1877
Space group: I4mm
Calculated density, g/cm3: 6.0

=====

No. 6
Computed, not measured: an optimized crystal structure of ZnGaRh3 at the PBE-GGA level of DFT.

a = 4.5301 Å, b = 4.5301 Å, c = 4.5301 Å
α = 90.00°, β = 90.00°, γ = 90.00°
Last column: nearest neighbours and their distance in Å.
Fractional coordinates of all 5 atoms:
Zn: 0.0000 0.0000 0.0000  12 Rh 3.20
Ga: 0.5000 0.5000 0.5000  6 Rh 2.27
Rh: 0.0000 0.5000 0.5000  2 Ga 2.27
Rh: 0.5000 0.0000 0.5000  2 Ga 2.27
Rh: 0.5000 0.5000 0.0000  2 Ga 2.27

Computed properties:
Excess energy over the best structure of this formula in the dataset, kJ per mole of atoms: 0.0
Formation energy from the elements, meV/atom: 634
Energy, eV/atom: -4.64
Space group: Pm-3m
Calculated density, g/cm3: 7.9